VASP calculation (GGA+U) on a geometry-optimized Fe3RuF structure.

a b c (Å): 4.7806 4.7806 4.7806
angles (deg): 90.00 90.00 90.00
Closest atoms and distances in Å follow each position.
Space group Pm-3m (No. 221)
Asymmetric unit:
Fe1 0.0000 0.0000 0.5000  2 Ru 2.39
Ru1 0.0000 0.0000 0.0000  6 Fe 2.39
F1 0.5000 0.5000 0.5000  12 Fe 3.38

Output
Offset from the most stable computed form: 758 meV per atom